[1]
# Ba4Tl3Pd, relaxed, DFT PBE
# - ΔH_f (0 K): -0.400 eV/atom
# - Total magnetic moment: 0.00 μB per formula unit
data_Ba4Tl3Pd
_chemical_formula_sum 'Ba4 Tl3 Pd1'
_symmetry_space_group_name_H-M 'P 4/m m m'
_symmetry_Int_Tables_number 123
_symmetry_space_group_name_Hall '-P 4 2'
_cell_length_a 4.163
_cell_length_b 4.163
_cell_length_c 17.088
_cell_angle_alpha 90.00
_cell_angle_beta 90.00
_cell_angle_gamma 90.00
loop_
_atom_site_label
_atom_site_type_symbol
_atom_site_fract_x
_atom_site_fract_y
_atom_site_fract_z
Ba1 Ba 0.000 0.000 0.109
Ba2 Ba 0.000 0.000 0.371
Tl1 Tl 0.500 0.500 0.243
Tl2 Tl 0.500 0.500 0.500
Pd1 Pd 0.500 0.500 0.000

[2]
# Np2GaPd9, relaxed, DFT PBE
# - ΔH_f (0 K): -0.448 eV/atom
# - Total magnetic moment: 6.28 μB per formula unit
data_Np2GaPd9
_chemical_formula_sum 'Np2 Ga1 Pd9'
_symmetry_space_group_name_H-M 'P 4/m m m'
_symmetry_Int_Tables_number 123
_symmetry_space_group_name_Hall '-P 4 2'
_cell_length_a 4.090
_cell_length_b 4.090
_cell_length_c 12.097
_cell_angle_alpha 90.00
_cell_angle_beta 90.00
_cell_angle_gamma 90.00
loop_
_atom_site_label
_atom_site_type_symbol
_atom_site_fract_x
_atom_site_fract_y
_atom_site_fract_z
Np1 Np 0.000 0.000 0.174
Ga1 Ga 0.000 0.000 0.500
Pd1 Pd 0.000 0.500 0.000
Pd2 Pd 0.000 0.500 0.344
Pd3 Pd 0.500 0.500 0.173
Pd4 Pd 0.500 0.500 0.500

[3]
# YAl2B6, relaxed, DFT PBE
# - ΔH_f (0 K): -0.165 eV/atom
# - Total magnetic moment: 0.00 μB per formula unit
data_YAl2B6
_chemical_formula_sum 'Y1 Al2 B6'
_symmetry_space_group_name_H-M 'P 6/m m m'
_symmetry_Int_Tables_number 191
_symmetry_space_group_name_Hall '-P 6 2'
_cell_length_a 5.3883
_cell_length_b 5.3883
_cell_length_c 3.5398
_cell_angle_alpha 90.00
_cell_angle_beta 90.00
_cell_angle_gamma 120.00
loop_
_atom_site_label
_atom_site_type_symbol
_atom_site_fract_x
_atom_site_fract_y
_atom_site_fract_z
Y1 Y 0.0000 0.0000 0.0000
Al1 Al 0.3333 0.6667 0.0000
B1 B 0.0000 0.3395 0.5000

[4]
# ScPa2O7, relaxed, DFT PBE
# - Total magnetic moment: 1.05 μB per formula unit
# - Formation energy without anion corrections: -3.27 eV per atom
data_ScPa2O7
_chemical_formula_sum 'Sc3 Pa6 O21'
_symmetry_space_group_name_H-M 'R -3 m'
_symmetry_Int_Tables_number 166
_symmetry_space_group_name_Hall '-R 3 2"'
_cell_length_a 3.8550
_cell_length_b 3.8550
_cell_length_c 30.3011
_cell_angle_alpha 90.00
_cell_angle_beta 90.00
_cell_angle_gamma 120.00
loop_
_atom_site_label
_atom_site_type_symbol
_atom_site_fract_x
_atom_site_fract_y
_atom_site_fract_z
Sc1 Sc 0.0000 0.0000 0.0000
Pa1 Pa 0.0000 0.0000 0.4288
O1 O 0.0000 0.0000 0.0710
O2 O 0.0000 0.0000 0.2207
O3 O 0.0000 0.0000 0.3563
O4 O 0.0000 0.0000 0.5000

[5]
# NaEuHgPt, relaxed, DFT PBE
# - ΔH_f (0 K): -0.441 eV/atom
# - Total magnetic moment: 7.18 μB per formula unit
data_NaEuHgPt
_chemical_formula_sum 'Na4 Eu4 Hg4 Pt4'
_symmetry_space_group_name_H-M 'F -4 3 m'
_symmetry_Int_Tables_number 216
_symmetry_space_group_name_Hall 'F -4 2 3'
_cell_length_a 7.272
_cell_length_b 7.272
_cell_length_c 7.272
_cell_angle_alpha 90.00
_cell_angle_beta 90.00
_cell_angle_gamma 90.00
loop_
_atom_site_label
_atom_site_type_symbol
_atom_site_fract_x
_atom_site_fract_y
_atom_site_fract_z
Na1 Na 0.000 0.000 0.000
Eu1 Eu 0.000 0.000 0.500
Hg1 Hg 0.250 0.250 0.250
Pt1 Pt 0.250 0.250 0.750

[6]
# MgAg2C, relaxed, DFT PBE
# - ΔH_f (0 K): 1.097 eV/atom
# - Energy relative to the lowest polymorph listed for this composition: 17 meV per atom
# - Total magnetic moment: 0.00 μB per formula unit
data_MgAg2C
_chemical_formula_sum 'Mg4 Ag8 C4'
_symmetry_space_group_name_H-M 'F m -3 m'
_symmetry_Int_Tables_number 225
_symmetry_space_group_name_Hall '-F 4 2 3'
_cell_length_a 6.224
_cell_length_b 6.224
_cell_length_c 6.224
_cell_angle_alpha 90.00
_cell_angle_beta 90.00
_cell_angle_gamma 90.00
loop_
_atom_site_label
_atom_site_type_symbol
_atom_site_fract_x
_atom_site_fract_y
_atom_site_fract_z
Mg1 Mg 0.000 0.000 0.000
Ag1 Ag 0.250 0.250 0.250
C1 C 0.000 0.000 0.500

[7]
# LaCuNi2Sb, relaxed, DFT PBE
# - Energy relative to the lowest polymorph listed for this composition: 0 meV per atom
# - Total magnetic moment: 0.00 μB per formula unit
# - Formation energy without anion corrections: 1.03 eV per atom
data_LaCuNi2Sb
_chemical_formula_sum 'La1 Cu1 Ni2 Sb1'
_symmetry_space_group_name_H-M 'P 4/m m m'
_symmetry_Int_Tables_number 123
_symmetry_space_group_name_Hall '-P 4 2'
_cell_length_a 4.731
_cell_length_b 4.731
_cell_length_c 5.162
_cell_angle_alpha 90.00
_cell_angle_beta 90.00
_cell_angle_gamma 90.00
loop_
_atom_site_label
_atom_site_type_symbol
_atom_site_fract_x
_atom_site_fract_y
_atom_site_fract_z
La1 La 0.000 0.000 0.000
Cu1 Cu 0.000 0.000 0.500
Ni1 Ni 0.000 0.500 0.000
Sb1 Sb 0.500 0.500 0.500

[8]
# CuSiNi, relaxed, DFT PBE
# - Total magnetic moment: 0.00 μB per formula unit
# - Formation energy without anion corrections: -0.24 eV per atom
data_CuSiNi
_chemical_formula_sum 'Cu4 Si4 Ni4'
_symmetry_space_group_name_H-M 'C 1 2/c 1'
_symmetry_Int_Tables_number 15
_cell_length_a 4.360
_cell_length_b 7.524
_cell_length_c 4.380
_cell_angle_alpha 90.00
_cell_angle_beta 106.49
_cell_angle_gamma 90.00
loop_
_symmetry_equiv_pos_as_xyz
'x,y,z'
'-x,-y,-z'
'-x,y,-z+1/2'
'x,-y,z+1/2'
'x+1/2,y+1/2,z'
'-x+1/2,-y+1/2,-z'
'-x+1/2,y+1/2,-z+1/2'
'x+1/2,-y+1/2,z+1/2'
loop_
_atom_site_label
_atom_site_type_symbol
_atom_site_fract_x
_atom_site_fract_y
_atom_site_fract_z
Cu1 Cu 0.000 0.075 0.250
Si1 Si 0.000 0.265 0.750
Ni1 Ni 0.000 0.402 0.250

[9]
# LiPrC3N6, relaxed, DFT PBE
# - Total magnetic moment: 2.02 μB per formula unit
# - Formation energy without anion corrections: -0.16 eV per atom
data_LiPrC3N6
_chemical_formula_sum 'Li3 Pr3 C9 N18'
_symmetry_space_group_name_H-M 'R 3 2'
_symmetry_Int_Tables_number 155
_symmetry_space_group_name_Hall 'R 3 2"'
_cell_length_a 10.1424
_cell_length_b 10.1424
_cell_length_c 6.4228
_cell_angle_alpha 90.00
_cell_angle_beta 90.00
_cell_angle_gamma 120.00
loop_
_atom_site_label
_atom_site_type_symbol
_atom_site_fract_x
_atom_site_fract_y
_atom_site_fract_z
Li1 Li 0.0000 0.0000 0.0000
Pr1 Pr 0.0000 0.0000 0.5000
C1 C 0.0000 0.4996 0.5000
N1 N 0.1006 0.2023 0.7664

[10]
# Nb2ReGeTe, relaxed, DFT PBE
# - Total magnetic moment: 0.01 μB per formula unit
# - Formation energy without anion corrections: 1.12 eV per atom
data_Nb2ReGeTe
_chemical_formula_sum 'Nb2 Re1 Ge1 Te1'
_symmetry_space_group_name_H-M 'P 4/m m m'
_symmetry_Int_Tables_number 123
_symmetry_space_group_name_Hall '-P 4 2'
_cell_length_a 4.831
_cell_length_b 4.831
_cell_length_c 4.609
_cell_angle_alpha 90.00
_cell_angle_beta 90.00
_cell_angle_gamma 90.00
loop_
_atom_site_label
_atom_site_type_symbol
_atom_site_fract_x
_atom_site_fract_y
_atom_site_fract_z
Nb1 Nb 0.000 0.500 0.000
Re1 Re 0.000 0.000 0.500
Ge1 Ge 0.000 0.000 0.000
Te1 Te 0.500 0.500 0.500

[11]
# K2NaMoBr6, relaxed, DFT PBE
# - Energy relative to the lowest polymorph listed for this composition: 14 meV per atom
# - Total magnetic moment: 3.00 μB per formula unit
# - Formation energy without anion corrections: -1.18 eV per atom
data_K2NaMoBr6
_chemical_formula_sum 'K8 Na4 Mo4 Br24'
_symmetry_space_group_name_H-M 'F m -3 m'
_symmetry_Int_Tables_number 225
_symmetry_space_group_name_Hall '-F 4 2 3'
_cell_length_a 10.977
_cell_length_b 10.977
_cell_length_c 10.977
_cell_angle_alpha 90.00
_cell_angle_beta 90.00
_cell_angle_gamma 90.00
loop_
_atom_site_label
_atom_site_type_symbol
_atom_site_fract_x
_atom_site_fract_y
_atom_site_fract_z
K1 K 0.250 0.250 0.250
Na1 Na 0.000 0.000 0.000
Mo1 Mo 0.000 0.000 0.500
Br1 Br 0.000 0.000 0.263

[12]
# Ho4ZnIr2, relaxed, DFT PBE
# - ΔH_f (0 K): -0.677 eV/atom
# - Energy relative to the lowest polymorph listed for this composition: 0 meV per atom
# - Total magnetic moment: 0.00 μB per formula unit
data_Ho4ZnIr2
_chemical_formula_sum 'Ho12 Zn3 Ir6'
_symmetry_space_group_name_H-M 'R -3 m'
_symmetry_Int_Tables_number 166
_symmetry_space_group_name_Hall '-R 3 2"'
_cell_length_a 4.8492
_cell_length_b 4.8492
_cell_length_c 23.6159
_cell_angle_alpha 90.00
_cell_angle_beta 90.00
_cell_angle_gamma 120.00
loop_
_atom_site_label
_atom_site_type_symbol
_atom_site_fract_x
_atom_site_fract_y
_atom_site_fract_z
Ho1 Ho 0.0000 0.0000 0.1208
Ho2 Ho 0.0000 0.0000 0.3720
Zn1 Zn 0.0000 0.0000 0.5000
Ir1 Ir 0.0000 0.0000 0.2483

[13]
# Sc2Ni7Sn2Au, relaxed, DFT PBE
# - ΔH_f (0 K): -0.101 eV/atom
# - Total magnetic moment: 0.00 μB per formula unit
data_Sc2Ni7Sn2Au
_chemical_formula_sum 'Sc4 Ni14 Sn4 Au2'
_symmetry_space_group_name_H-M 'C 1 2/m 1'
_symmetry_Int_Tables_number 12
_cell_length_a 4.944
_cell_length_b 4.943
_cell_length_c 15.756
_cell_angle_alpha 90.00
_cell_angle_beta 98.72
_cell_angle_gamma 90.00
loop_
_symmetry_equiv_pos_as_xyz
'x,y,z'
'-x,-y,-z'
'-x,y,-z'
'x,-y,z'
'x+1/2,y+1/2,z'
'-x+1/2,-y+1/2,-z'
'-x+1/2,y+1/2,-z'
'x+1/2,-y+1/2,z'
loop_
_atom_site_label
_atom_site_type_symbol
_atom_site_fract_x
_atom_site_fract_y
_atom_site_fract_z
Sc1 Sc 0.121 0.000 0.252
Ni1 Ni 0.000 0.000 0.000
Ni2 Ni 0.189 0.250 0.872
Ni3 Ni 0.218 0.000 0.452
Sn1 Sn 0.184 0.500 0.382
Au1 Au 0.000 0.500 0.000

[14]
# BaTlRhI2, relaxed, DFT PBE
# - Total magnetic moment: 0.00 μB per formula unit
# - Formation energy without anion corrections: -0.37 eV per atom
data_BaTlRhI2
_chemical_formula_sum 'Ba1 Tl1 Rh1 I2'
_symmetry_space_group_name_H-M 'P 4/m m m'
_symmetry_Int_Tables_number 123
_symmetry_space_group_name_Hall '-P 4 2'
_cell_length_a 5.591
_cell_length_b 5.591
_cell_length_c 5.649
_cell_angle_alpha 90.00
_cell_angle_beta 90.00
_cell_angle_gamma 90.00
loop_
_atom_site_label
_atom_site_type_symbol
_atom_site_fract_x
_atom_site_fract_y
_atom_site_fract_z
Ba1 Ba 0.000 0.000 0.000
Tl1 Tl 0.500 0.500 0.000
Rh1 Rh 0.000 0.000 0.500
I1 I 0.000 0.500 0.500

[15]
# MnZn2Ni9, relaxed, DFT PBE
# - ΔH_f (0 K): -0.111 eV/atom
# - Total magnetic moment: 6.91 μB per formula unit
data_MnZn2Ni9
_chemical_formula_sum 'Mn1 Zn2 Ni9'
_symmetry_space_group_name_H-M 'P 4/m m m'
_symmetry_Int_Tables_number 123
_symmetry_space_group_name_Hall '-P 4 2'
_cell_length_a 3.578
_cell_length_b 3.578
_cell_length_c 10.674
_cell_angle_alpha 90.00
_cell_angle_beta 90.00
_cell_angle_gamma 90.00
loop_
_atom_site_label
_atom_site_type_symbol
_atom_site_fract_x
_atom_site_fract_y
_atom_site_fract_z
Mn1 Mn 0.000 0.000 0.000
Zn1 Zn 0.000 0.000 0.334
Ni1 Ni 0.000 0.500 0.165
Ni2 Ni 0.000 0.500 0.500
Ni3 Ni 0.500 0.500 0.000
Ni4 Ni 0.500 0.500 0.332

[16]
# Ce2Al8Cu, relaxed, DFT PBE
# - ΔH_f (0 K): -0.305 eV/atom
# - Total magnetic moment: 0.00 μB per formula unit
data_Ce2Al8Cu
_chemical_formula_sum 'Ce2 Al8 Cu1'
_symmetry_space_group_name_H-M 'P 4/m m m'
_symmetry_Int_Tables_number 123
_symmetry_space_group_name_Hall '-P 4 2'
_cell_length_a 4.330
_cell_length_b 4.330
_cell_length_c 11.289
_cell_angle_alpha 90.00
_cell_angle_beta 90.00
_cell_angle_gamma 90.00
loop_
_atom_site_label
_atom_site_type_symbol
_atom_site_fract_x
_atom_site_fract_y
_atom_site_fract_z
Ce1 Ce 0.000 0.000 0.192
Al1 Al 0.000 0.500 0.000
Al2 Al 0.000 0.500 0.378
Al3 Al 0.500 0.500 0.196
Cu1 Cu 0.000 0.000 0.500

[17]
# ScH3W, relaxed, DFT PBE
# - Energy relative to the lowest polymorph listed for this composition: 578 meV per atom
# - Total magnetic moment: 0.00 μB per formula unit
data_ScH3W
_chemical_formula_sum 'Sc1 H3 W1'
_symmetry_space_group_name_H-M 'P m -3 m'
_symmetry_Int_Tables_number 221
_symmetry_space_group_name_Hall '-P 4 2 3'
_cell_length_a 3.532
_cell_length_b 3.532
_cell_length_c 3.532
_cell_angle_alpha 90.00
_cell_angle_beta 90.00
_cell_angle_gamma 90.00
loop_
_atom_site_label
_atom_site_type_symbol
_atom_site_fract_x
_atom_site_fract_y
_atom_site_fract_z
Sc1 Sc 0.000 0.000 0.000
H1 H 0.000 0.000 0.500
W1 W 0.500 0.500 0.500

[18]
# Dy8Te4Se3N, relaxed, DFT PBE
# - Total magnetic moment: 0.00 μB per formula unit
# - Formation energy without anion corrections: -1.48 eV per atom
data_Dy8Te4Se3N
_chemical_formula_sum 'Dy24 Te12 Se9 N3'
_symmetry_space_group_name_H-M 'R -3 m'
_symmetry_Int_Tables_number 166
_symmetry_space_group_name_Hall '-R 3 2"'
_cell_length_a 8.2154
_cell_length_b 8.2154
_cell_length_c 20.8365
_cell_angle_alpha 90.00
_cell_angle_beta 90.00
_cell_angle_gamma 120.00
loop_
_atom_site_label
_atom_site_type_symbol
_atom_site_fract_x
_atom_site_fract_y
_atom_site_fract_z
Dy1 Dy 0.0000 0.0000 0.2396
Dy2 Dy 0.0390 0.5195 0.2332
Te1 Te 0.0000 0.0000 0.0000
Te2 Te 0.0000 0.5000 0.0000
Se1 Se 0.0000 0.5000 0.5000
N1 N 0.0000 0.0000 0.5000

[19]
# Ac2Nd3Tl4, relaxed, DFT PBE
# - ΔH_f (0 K): -0.282 eV/atom
# - Energy relative to the lowest polymorph listed for this composition: 82 meV per atom
# - Total magnetic moment: 0.00 μB per formula unit
data_Ac2Nd3Tl4
_chemical_formula_sum 'Ac8 Nd12 Tl16'
_symmetry_space_group_name_H-M 'C m c e'
_symmetry_Int_Tables_number 64
_symmetry_space_group_name_Hall '-C 2ac 2'
_cell_length_a 7.485
_cell_length_b 17.401
_cell_length_c 9.497
_cell_angle_alpha 90.00
_cell_angle_beta 90.00
_cell_angle_gamma 90.00
loop_
_atom_site_label
_atom_site_type_symbol
_atom_site_fract_x
_atom_site_fract_y
_atom_site_fract_z
Ac1 Ac 0.000 0.110 0.076
Nd1 Nd 0.000 0.000 0.500
Nd2 Nd 0.250 0.218 0.750
Tl1 Tl 0.000 0.184 0.461
Tl2 Tl 0.250 0.036 0.750

[20]
# Eu3TmF, relaxed, DFT PBE
# - Total magnetic moment: 22.76 μB per formula unit
# - Formation energy without anion corrections: -0.96 eV per atom
data_Eu3TmF
_chemical_formula_sum 'Eu3 Tm1 F1'
_symmetry_space_group_name_H-M 'P m -3 m'
_symmetry_Int_Tables_number 221
_symmetry_space_group_name_Hall '-P 4 2 3'
_cell_length_a 5.326
_cell_length_b 5.326
_cell_length_c 5.326
_cell_angle_alpha 90.00
_cell_angle_beta 90.00
_cell_angle_gamma 90.00
loop_
_atom_site_label
_atom_site_type_symbol
_atom_site_fract_x
_atom_site_fract_y
_atom_site_fract_z
Eu1 Eu 0.000 0.000 0.500
Tm1 Tm 0.500 0.500 0.500
F1 F 0.000 0.000 0.000